# LaTaNiOs2

A PBEsol-optimized structure of LaTaNiOs2 (meta-GGA SCAN, Alexandria via LeMat-Bulk).

a b c (Å): 4.574 4.776 4.776
angles (deg): 90.00 90.00 90.00
Positions (direct):
1 Ni 0.500 0.000 0.000
2 La 0.500 0.500 0.500
3 Os 0.000 0.000 0.500
4 Os 0.000 0.500 0.000
5 Ta 0.000 0.000 0.000

Calculated values
Space group = P4/mmm (123)
E_form = 0.74 eV/atom

# Sr3NbN3

A PBEsol-optimized structure of Sr3NbN3 (meta-GGA SCAN, Alexandria via LeMat-Bulk).

a b c (Å): 5.422 7.867 7.867
angles (deg): 120.00 90.00 90.00
Positions (direct):
1 Sr 0.750 0.114 0.757
2 Sr 0.750 0.243 0.357
3 Sr 0.750 0.643 0.886
4 Sr 0.250 0.886 0.243
5 Sr 0.250 0.757 0.643
6 Sr 0.250 0.357 0.114
7 Nb 0.250 0.333 0.667
8 Nb 0.750 0.667 0.333
9 N 0.250 0.130 0.739
10 N 0.250 0.261 0.391
11 N 0.250 0.609 0.870
12 N 0.750 0.870 0.261
13 N 0.750 0.739 0.609
14 N 0.750 0.391 0.130

Calculated values
Space group = P6_3/m (176)
VASP energy = -19.28 eV/atom

# LaTaCr2

A PBEsol-optimized structure of LaTaCr2 (meta-GGA SCAN, Alexandria via LeMat-Bulk).

a b c (Å): 2.941 2.941 9.363
angles (deg): 80.96 80.96 60.00
Positions (direct):
1 Cr 0.009 0.009 0.972
2 Cr 0.731 0.731 0.808
3 La 0.494 0.494 0.518
4 Ta 0.266 0.266 0.202

Calculated values
Space group = R3m (160)
E_form = 0.75 eV/atom
Excess energy over the best structure of this formula in the dataset = 0 meV per atom

# NiAgOF2

A PBEsol-optimized structure of NiAgOF2 (meta-GGA SCAN, Alexandria via LeMat-Bulk).

a b c (Å): 3.555 3.984 3.984
angles (deg): 90.00 90.00 90.00
Positions (direct):
1 Ni 0.000 0.000 0.000
2 O 0.500 0.000 0.000
3 Ag 0.500 0.500 0.500
4 F 0.000 0.000 0.500
5 F 0.000 0.500 0.000

Calculated values
Space group = P4/mmm (123)
VASP energy = -13.43 eV/atom

Q: What is the formula in the first record?
A: LaTaNiOs2